Ca6MgPb10 | GGA-PBE | optimized geometry

The structure belongs to space group P-31m (No. 162); the cell edges are 9.4140, 9.4140 and 6.8127 Å and the angles 90.00°, 90.00° and 120.00°. The distinct sites, in fractional coordinates, are Ca at (0.0000, 0.3705, 0.3074), Mg at (0.0000, 0.0000, 0.5000), Pb at (0.0000, 0.2691, 0.8347), Pb at (0.3333, 0.6667, 0.0000) and Pb at (0.3333, 0.6667, 0.5000).

The calculated formation energy is -308 meV/atom. The value obtained for the spin magnetization is 0.00 μB per formula unit. The value obtained for the electronic total energy is -55.93 eV for the cell shown.